A relaxed Ta2VHRu crystal. Source: the Alexandria database, functional PBE.

Cell lengths 4.4038, 4.4038, 3.4388 Å; angles 90.00, 90.00, 90.00 degrees
Last column: nearest neighbours and their distance in Å.
Sites, in units of the cell vectors:
Ta 0.0000 0.5000 0.0000  2 H 2.20
Ta 0.5000 0.0000 0.0000  2 H 2.20
V 0.0000 0.0000 0.5000  8 Ta 2.79, 4 Ru 3.11
H 0.5000 0.5000 0.0000  2 Ru 1.72
Ru 0.5000 0.5000 0.5000  2 H 1.72

- uncorrected energy (eV/cell) = -45.9
- Fermi-level density of states (states/eV per cell) = 3.4
- energy relative to the lowest polymorph listed for this composition (meV per atom) = 91

---

A relaxed TaV2HRu crystal. Source: the Alexandria database, functional PBE.

Cell lengths 3.7345, 3.7345, 4.4395 Å; angles 90.00, 90.00, 90.00 degrees
Last column: nearest neighbours and their distance in Å.
Sites, in units of the cell vectors:
Ta 0.0000 0.0000 0.0000  2 H 2.22
V 0.0000 0.5000 0.5000  2 H 1.87
V 0.5000 0.0000 0.5000  2 H 1.87
H 0.0000 0.0000 0.5000  4 V 1.87
Ru 0.5000 0.5000 0.0000  4 Ta 2.64, 8 V 2.90

- uncorrected energy (eV/cell) = -43.1
- Fermi-level density of states (states/eV per cell) = 4.4
- energy relative to the lowest polymorph listed for this composition (meV per atom) = 0

---

A relaxed Ta2VHRu crystal. Source: the Alexandria database, functional PBE.

Cell lengths 4.4466, 4.4466, 3.3125 Å; angles 90.00, 90.00, 90.00 degrees
Last column: nearest neighbours and their distance in Å.
Sites, in units of the cell vectors:
Ta 0.0000 0.5000 0.0000  2 H 2.22
Ta 0.5000 0.0000 0.0000  2 H 2.22
V 0.0000 0.0000 0.5000  2 H 1.66
H 0.0000 0.0000 0.0000  2 V 1.66
Ru 0.5000 0.5000 0.5000  8 Ta 2.77

- uncorrected energy (eV/cell) = -46.4
- Fermi-level density of states (states/eV per cell) = 2.9
- energy relative to the lowest polymorph listed for this composition (meV per atom) = 0

---

Copy entry 1 word for word.
A relaxed Ta2VHRu crystal. Source: the Alexandria database, functional PBE.

Cell lengths 4.4038, 4.4038, 3.4388 Å; angles 90.00, 90.00, 90.00 degrees
Last column: nearest neighbours and their distance in Å.
Sites, in units of the cell vectors:
Ta 0.0000 0.5000 0.0000  2 H 2.20
Ta 0.5000 0.0000 0.0000  2 H 2.20
V 0.0000 0.0000 0.5000  8 Ta 2.79, 4 Ru 3.11
H 0.5000 0.5000 0.0000  2 Ru 1.72
Ru 0.5000 0.5000 0.5000  2 H 1.72

- uncorrected energy (eV/cell) = -45.9
- Fermi-level density of states (states/eV per cell) = 3.4
- energy relative to the lowest polymorph listed for this composition (meV per atom) = 91

---

What is the formula in the third record? Ta2VHRu

---

Which value of energy relative to the lowest polymorph listed for this composition does entry 1 give? 91 meV per atom

---

Among the records above, which one has the highest energy relative to the lowest polymorph listed for this composition? number 1